# TbPm12Ru7, relaxed, DFT GGA-PBE
# energy of formation from the pure elements = -0.0957 eV/atom
# density of states at the Fermi level = 0.538 states/eV per atom
# calculated volume = 1745.1 Å³ per cell
data_TbPm12Ru7
_chemical_formula_sum 'Tb3 Pm36 Ru21'
_cell_length_a 14.3077
_cell_length_b 14.3077
_cell_length_c 9.8436
_cell_angle_alpha 90.00
_cell_angle_beta 90.00
_cell_angle_gamma 120.00
_space_group_name_H-M_alt 'R -3'
_space_group_IT_number 148
_space_group_name_Hall '-R 3'
loop_
_atom_site_label
_atom_site_type_symbol
_atom_site_fract_x
_atom_site_fract_y
_atom_site_fract_z
Tb1 Tb 0.0000 0.0000 0.0000
Pm1 Pm 0.0265 0.4384 0.6630
Pm2 Pm 0.0482 0.8730 0.3316
Ru1 Ru 0.0000 0.0000 0.5000
Ru2 Ru 0.0449 0.8594 0.8318

---

# Tb2Pm3Ru2, relaxed, DFT GGA-PBE
# energy of formation from the pure elements = -0.2512 eV/atom
# density of states at the Fermi level = 0.772 states/eV per atom
# calculated volume = 380.8 Å³ per cell
data_Tb2Pm3Ru2
_chemical_formula_sum 'Tb4 Pm6 Ru4'
_cell_length_a 12.157
_cell_length_b 3.943
_cell_length_c 8.646
_cell_angle_alpha 90.00
_cell_angle_beta 113.28
_cell_angle_gamma 90.00
_space_group_name_H-M_alt 'C 1 2/m 1'
_space_group_IT_number 12
loop_
_space_group_symop_operation_xyz
'x,y,z'
'-x,-y,-z'
'-x,y,-z'
'x,-y,z'
'x+1/2,y+1/2,z'
'-x+1/2,-y+1/2,-z'
'-x+1/2,y+1/2,-z'
'x+1/2,-y+1/2,z'
loop_
_atom_site_label
_atom_site_type_symbol
_atom_site_fract_x
_atom_site_fract_y
_atom_site_fract_z
Tb1 Tb 0.169 0.000 0.314
Pm1 Pm 0.000 0.500 0.500
Pm2 Pm 0.120 0.500 0.927
Ru1 Ru 0.182 0.000 0.723

---

# Tb3PmRu2, relaxed, DFT GGA-PBE
# energy of formation from the pure elements = -0.2947 eV/atom
# density of states at the Fermi level = 0.623 states/eV per atom
# calculated volume = 295.6 Å³ per cell
data_Tb3PmRu2
_chemical_formula_sum 'Tb6 Pm2 Ru4'
_cell_length_a 4.505
_cell_length_b 8.808
_cell_length_c 7.449
_cell_angle_alpha 90.00
_cell_angle_beta 90.00
_cell_angle_gamma 90.00
_space_group_name_H-M_alt 'P m c 21'
_space_group_IT_number 26
loop_
_space_group_symop_operation_xyz
'x,y,z'
'-x,-y,z+1/2'
'-x,y,z'
'x,-y,z+1/2'
loop_
_atom_site_label
_atom_site_type_symbol
_atom_site_fract_x
_atom_site_fract_y
_atom_site_fract_z
Tb1 Tb 0.000 0.084 0.000
Tb2 Tb 0.000 0.322 0.374
Tb3 Tb 0.500 0.173 0.665
Pm1 Pm 0.500 0.415 0.036
Ru1 Ru 0.000 0.350 0.767
Ru2 Ru 0.500 0.145 0.271

---

# Tb3PmRu3, relaxed, DFT GGA-PBE
# energy of formation from the pure elements = -0.2980 eV/atom
# density of states at the Fermi level = 0.451 states/eV per atom
# calculated volume = 472.3 Å³ per cell
data_Tb3PmRu3
_chemical_formula_sum 'Tb9 Pm3 Ru9'
_cell_length_a 9.6332
_cell_length_b 9.6332
_cell_length_c 5.8773
_cell_angle_alpha 90.00
_cell_angle_beta 90.00
_cell_angle_gamma 120.00
_space_group_name_H-M_alt 'R 3 m'
_space_group_IT_number 160
_space_group_name_Hall 'R 3 -2"'
loop_
_atom_site_label
_atom_site_type_symbol
_atom_site_fract_x
_atom_site_fract_y
_atom_site_fract_z
Tb1 Tb 0.0571 0.5285 0.0000
Pm1 Pm 0.0000 0.0000 0.8850
Ru1 Ru 0.1669 0.3339 0.8057

---

# TbPm12Ru4, relaxed, DFT GGA-PBE
# energy of formation from the pure elements = -0.0416 eV/atom
# density of states at the Fermi level = 0.906 states/eV per atom
# calculated volume = 1125.3 Å³ per cell
data_TbPm12Ru4
_chemical_formula_sum 'Tb2 Pm24 Ru8'
_cell_length_a 10.401
_cell_length_b 10.401
_cell_length_c 10.401
_cell_angle_alpha 90.00
_cell_angle_beta 90.00
_cell_angle_gamma 90.00
_space_group_name_H-M_alt 'I m -3'
_space_group_IT_number 204
_space_group_name_Hall '-I 2 2 3'
loop_
_atom_site_label
_atom_site_type_symbol
_atom_site_fract_x
_atom_site_fract_y
_atom_site_fract_z
Tb1 Tb 0.000 0.000 0.000
Pm1 Pm 0.000 0.312 0.177
Ru1 Ru 0.250 0.250 0.250

---

# Tb2PmRu9, relaxed, DFT GGA-PBE
# energy of formation from the pure elements = -0.1063 eV/atom
# density of states at the Fermi level = 1.446 states/eV per atom
# calculated volume = 635.6 Å³ per cell
data_Tb2PmRu9
_chemical_formula_sum 'Tb6 Pm3 Ru27'
_cell_length_a 5.2970
_cell_length_b 5.2970
_cell_length_c 26.1580
_cell_angle_alpha 90.00
_cell_angle_beta 90.00
_cell_angle_gamma 120.00
_space_group_name_H-M_alt 'R -3 m'
_space_group_IT_number 166
_space_group_name_Hall '-R 3 2"'
loop_
_atom_site_label
_atom_site_type_symbol
_atom_site_fract_x
_atom_site_fract_y
_atom_site_fract_z
Tb1 Tb 0.0000 0.0000 0.1397
Pm1 Pm 0.0000 0.0000 0.0000
Ru1 Ru 0.0000 0.0000 0.3381
Ru2 Ru 0.0000 0.0000 0.5000
Ru3 Ru 0.0104 0.5052 0.9171